# 1
Density functional theory data (PBE) for a geometry-optimized PmAlGePd structure.

Lattice parameters (Å, degrees): 4.8292 4.8292 4.8292 60.00 60.00 60.00
Sites, in units of the cell vectors:
Pm 0.0000 0.0000 0.0000
Al 0.5000 0.5000 0.5000
Ge 0.2500 0.2500 0.2500
Pd 0.7500 0.7500 0.7500

Calculated values
Energy above the lowest structure with this stoichiometry: 0.195 eV per atom
Density: 7.32 g/cm³
Crystal system: cubic
Energy of formation: -538 meV per atom
Spin magnetization: 0.00 μB/cell



# 2
Density functional theory data (PBE) for a geometry-optimized PmAlGePd structure.

Lattice parameters (Å, degrees): 4.3133 4.3133 5.7318 112.03 112.03 60.07
Sites, in units of the cell vectors:
Pm 0.0000 0.0000 0.0000
Al 0.5258 0.5258 0.5777
Ge 0.7837 0.7837 0.3517
Pd 0.2001 0.2001 0.6014

Calculated values
Energy above the lowest structure with this stoichiometry: 0.000 eV per atom
Density: 7.00 g/cm³
Crystal system: monoclinic
Energy of formation: -733 meV per atom
Spin magnetization: 0.00 μB/cell



# 3
Density functional theory data (PBE) for a geometry-optimized PmAl2GePd2 structure.

Lattice parameters (Å, degrees): 4.6855 4.6855 5.6553 90.00 90.00 90.00
Sites, in units of the cell vectors:
Pm 0.0000 0.0000 0.0000
Al 0.0000 0.5000 0.5000
Al 0.5000 0.0000 0.5000
Ge 0.0000 0.0000 0.5000
Pd 0.5000 0.5000 0.2465
Pd 0.5000 0.5000 0.7535

Calculated values
Density: 6.48 g/cm³
Crystal system: tetragonal
Energy of formation: -219 meV per atom
Spin magnetization: 0.00 μB/cell



# 4
Density functional theory data (PBE) for a geometry-optimized PmAlGe2Pd5 structure.

Lattice parameters (Å, degrees): 4.6960 4.6960 7.4706 90.00 90.00 90.00
Sites, in units of the cell vectors:
Pm 0.0000 0.0000 0.0000
Al 0.0000 0.0000 0.5000
Ge 0.5000 0.5000 0.3417
Ge 0.5000 0.5000 0.6583
Pd 0.0000 0.5000 0.2542
Pd 0.0000 0.5000 0.7458
Pd 0.5000 0.0000 0.2542
Pd 0.5000 0.0000 0.7458
Pd 0.5000 0.5000 0.0000

Calculated values
Density: 8.56 g/cm³
Crystal system: tetragonal
Energy of formation: -477 meV per atom
Spin magnetization: 0.00 μB/cell



# 5
Density functional theory data (PBE) for a geometry-optimized PrAl2GePd2 structure.

Lattice parameters (Å, degrees): 4.6928 4.6928 5.7220 90.00 90.00 90.00
Sites, in units of the cell vectors:
Pr 0.0000 0.0000 0.0000
Al 0.0000 0.5000 0.5000
Al 0.5000 0.0000 0.5000
Ge 0.0000 0.0000 0.5000
Pd 0.5000 0.5000 0.2475
Pd 0.5000 0.5000 0.7525

Calculated values
Density: 6.33 g/cm³
Crystal system: tetragonal
Energy of formation: -224 meV per atom
Spin magnetization: 0.00 μB/cell



# 6
Density functional theory data (PBE) for a geometry-optimized Pu2AlGePd6 structure.

Lattice parameters (Å, degrees): 6.4538 6.4538 7.7019 126.39 126.39 50.43
Sites, in units of the cell vectors:
Pu 0.0013 0.0013 0.2556
Pu 0.9987 0.9987 0.7444
Al 0.5000 0.5000 0.0000
Ge 0.5000 0.5000 0.5000
Pd 0.0028 0.5031 0.8102
Pd 0.3274 0.3274 0.5789
Pd 0.4969 0.9972 0.1898
Pd 0.5031 0.0028 0.8102
Pd 0.6726 0.6726 0.4211
Pd 0.9972 0.4969 0.1898

Calculated values
Density: 10.91 g/cm³
Crystal system: monoclinic
Energy of formation: -517 meV per atom
Spin magnetization: 10.79 μB/cell



Q: Look up the energy of formation of the second one.
A: -733 meV per atom



Please write out number 5 again, unchanged.
Density functional theory data (PBE) for a geometry-optimized PrAl2GePd2 structure.

Lattice parameters (Å, degrees): 4.6928 4.6928 5.7220 90.00 90.00 90.00
Sites, in units of the cell vectors:
Pr 0.0000 0.0000 0.0000
Al 0.0000 0.5000 0.5000
Al 0.5000 0.0000 0.5000
Ge 0.0000 0.0000 0.5000
Pd 0.5000 0.5000 0.2475
Pd 0.5000 0.5000 0.7525

Calculated values
Density: 6.33 g/cm³
Crystal system: tetragonal
Energy of formation: -224 meV per atom
Spin magnetization: 0.00 μB/cell



Q: Which formula does entry 2 have?
A: PmAlGePd



Q: Which formula does entry 4 have?
A: PmAlGe2Pd5